No. 1
Mg2MnAs after structural relaxation, computed with PBE.

Computed properties:
The calculation puts the calculated formation energy at -0.556 kcal/mol of atoms. The value obtained for the calculated density is 4.301 g/cm3. As for the total energy: -4.276 eV/atom.

Structure (POSCAR):
```
Mg2MnAs
1.0
3.116 0.000 0.000
0.000 3.116 0.000
0.000 0.000 7.097
Mg As Mn
2 1 1
direct
0.500 0.500 0.295
0.000 0.000 0.961
0.500 0.500 0.692
0.000 0.000 0.552
```

=====

No. 2
Sr2MgUN4 after structural relaxation, computed with PBE.

Computed properties:
The value obtained for the calculated density is 6.656 g/cm3. As for the total energy: -7.208 eV/atom.

Structure (POSCAR):
```
Sr2MgUN4
1.0
-1.349 -3.083 1.339
-1.025 -2.050 -5.751
4.737 -2.793 -1.658
Sr N Mg U
2 4 1 1
direct
0.000 0.000 0.000
0.500 0.000 0.500
0.000 0.294 0.275
0.000 0.706 0.725
0.500 0.700 0.272
0.500 0.300 0.728
0.500 0.500 0.000
0.000 0.500 0.500
```

=====

No. 3
KMnSb2 after structural relaxation, computed with PBE.

Computed properties:
The value obtained for the calculated density is 5.298 g/cm3. As for the total energy: -4.659 eV/atom. Its relative energy among the computed polymorphs is 123 meV per atom.

Structure (POSCAR):
```
KMnSb2
1.0
-1.077 -1.292 3.040
3.451 0.220 0.344
-0.859 8.386 3.258
Sb K Mn
2 1 1
direct
0.000 0.000 0.941
0.000 0.000 0.559
0.500 0.500 0.250
0.500 0.500 0.750
```

=====

No. 4
HfSb2Ir2 after structural relaxation, computed with PBE.

Computed properties:
The value obtained for the calculated density is 13.525 g/cm3. As for the total energy: -7.352 eV/atom. Its relative energy among the computed polymorphs is 0 meV per atom.

Structure (POSCAR):
```
HfSb2Ir2
1.0
-4.946 5.136 0.341
-3.263 -3.494 5.301
2.167 1.914 2.596
Ir Sb Hf
4 4 2
direct
0.367 0.867 0.000
0.133 0.367 0.000
0.633 0.133 0.000
0.867 0.633 0.000
0.176 0.676 0.500
0.324 0.176 0.500
0.824 0.324 0.500
0.676 0.824 0.500
0.000 0.000 0.000
0.500 0.500 0.000
```

=====

No. 5
RbAuF after structural relaxation, computed with PBE.

Computed properties:
The value obtained for the calculated density is 6.546 g/cm3. As for the total energy: -3.452 eV/atom.

Structure (POSCAR):
```
RbAuF
1.0
3.987 -0.407 -0.201
0.378 4.040 -0.684
0.434 -0.458 9.452
Au Rb F
2 2 2
direct
0.161 0.877 0.868
0.662 0.777 0.684
0.161 0.156 0.441
0.662 0.499 0.111
0.660 0.643 0.417
0.163 0.011 0.134
```

=====

No. 6
CeCd2In after structural relaxation, computed with PBE.

Computed properties:
The calculation puts the calculated formation energy at -4.264 kcal/mol of atoms. The value obtained for the calculated density is 7.680 g/cm3. As for the total energy: -2.811 eV/atom.

Structure (POSCAR):
```
CeCd2In
1.0
4.856 0.000 0.000
0.000 4.856 0.000
-2.428 -2.428 8.799
Ce Cd In
2 4 2
direct
0.128 0.128 0.256
0.872 0.872 0.744
0.630 0.630 0.261
0.000 0.500 0.000
0.370 0.370 0.739
0.500 0.000 0.000
0.750 0.250 0.500
0.250 0.750 0.500
```

=====

No. 7
AcSnAu2 after structural relaxation, computed with PBE.

Computed properties:
The calculation puts the calculated formation energy at -15.683 kcal/mol of atoms. The value obtained for the calculated density is 12.005 g/cm3. As for the total energy: -4.347 eV/atom.

Structure (POSCAR):
```
AcSnAu2
1.0
-1.745 -3.033 -3.910
3.417 -2.389 -3.187
0.615 -5.205 0.249
Sn Ac Au
1 1 2
direct
0.750 0.750 0.750
0.250 0.250 0.250
0.000 0.000 0.000
0.500 0.500 0.500
```

=====

No. 8
PaTe5Pb2 after structural relaxation, computed with PBE.

Computed properties:
The value obtained for the calculated density is 6.646 g/cm3. As for the total energy: -4.182 eV/atom.

Structure (POSCAR):
```
PaTe5Pb2
1.0
-1.437 -1.813 5.139
7.178 -1.891 1.341
1.293 6.887 2.792
Pa Te Pb
1 5 2
direct
0.000 0.000 0.000
0.000 0.278 0.722
0.000 0.278 0.278
0.500 0.000 0.000
0.000 0.722 0.722
0.000 0.722 0.278
0.500 0.000 0.500
0.500 0.500 0.000
```

=====

No. 9
KYMg2Cl8 after structural relaxation, computed with PBE.

Computed properties:
The value obtained for the calculated density is 2.160 g/cm3. As for the total energy: -4.098 eV/atom.

Structure (POSCAR):
```
KYMg2Cl8
1.0
6.409 0.528 0.575
0.587 6.417 0.547
0.740 0.726 8.785
Cl Mg Y K
8 2 1 1
direct
0.251 0.803 0.776
0.749 0.197 0.224
0.789 0.236 0.779
0.323 0.339 0.508
0.262 0.281 0.954
0.211 0.764 0.221
0.677 0.661 0.492
0.738 0.719 0.046
0.547 0.543 0.288
0.453 0.457 0.712
0.000 0.000 0.000
0.000 0.000 0.500
```

=====

No. 10
Ba3Tl2TcO8 after structural relaxation, computed with PBE.

Computed properties:
The value obtained for the calculated density is 7.046 g/cm3. As for the total energy: -5.902 eV/atom.

Structure (POSCAR):
```
Ba3Tl2TcO8
1.0
5.989 0.000 0.000
-2.995 5.187 0.000
0.000 0.000 7.941
O Ba Tl Tc
8 3 2 1
direct
0.333 0.667 0.937
0.667 0.333 0.063
0.156 0.312 0.344
0.312 0.156 0.656
0.688 0.844 0.344
0.156 0.844 0.344
0.844 0.688 0.656
0.844 0.156 0.656
0.333 0.667 0.625
0.000 0.000 0.000
0.667 0.333 0.375
0.333 0.667 0.193
0.667 0.333 0.807
0.000 0.000 0.500
```

=====

No. 11
Hf2InGa3 after structural relaxation, computed with PBE.

Computed properties:
The calculation puts the calculated formation energy at -5.162 kcal/mol of atoms. The value obtained for the calculated density is 9.810 g/cm3. As for the total energy: -5.511 eV/atom.

Structure (POSCAR):
```
Hf2InGa3
1.0
-4.970 1.860 0.909
-0.195 -3.115 5.280
4.723 4.744 2.977
Ga Hf In
6 4 2
direct
0.265 0.750 0.997
0.857 0.250 0.656
0.878 0.750 0.656
0.122 0.250 0.344
0.143 0.750 0.344
0.735 0.250 0.003
0.374 0.500 0.677
0.374 0.000 0.677
0.626 0.500 0.323
0.626 0.000 0.323
0.763 0.750 0.002
0.237 0.250 0.998
```